# 1
! Dy2TmGe4Pd4, optimized geometry, DFT GGA-PBE; values from VASP
&SYSTEM
  ibrav = 0, nat = 11, ntyp = 4
/
ATOMIC_SPECIES
Dy 162.50 Dy.upf
Ge 72.64 Ge.upf
Pd 106.42 Pd.upf
Tm 168.93 Tm.upf
CELL_PARAMETERS angstrom
7.419 -2.886 1.617
2.112 -1.335 7.729
-4.740 -1.635 -6.391
ATOMIC_POSITIONS angstrom
Dy 2.540 -2.792 -1.210
Dy 2.251 -3.064 4.165
Ge 7.457 -3.303 7.312
Ge -0.481 -2.892 -0.816
Ge 5.272 -2.965 3.771
Ge 2.074 -0.919 2.034
Pd 3.900 -2.725 1.610
Pd 7.234 -4.202 4.880
Pd 0.891 -3.131 1.346
Pd -2.443 -1.655 -1.924
Tm 0.000 0.000 0.000
! - final energy (eV/atom) = -5.700
! - V (Å³/atom) = 18.9
! - mass density (g cm⁻³) = 9.66
! - total magnetization (μB/f.u.) = 0.01

=====

# 2
! NbI2BrCl2, optimized geometry, DFT GGA-PBE; values from VASP
&SYSTEM
  ibrav = 0, nat = 12, ntyp = 4
/
ATOMIC_SPECIES
Cl 35.45 Cl.upf
Br 79.90 Br.upf
Nb 92.91 Nb.upf
I 126.90 I.upf
CELL_PARAMETERS angstrom
-0.403 5.400 4.195
3.865 -5.589 3.010
6.238 5.014 -6.633
ATOMIC_POSITIONS angstrom
Cl 7.651 1.300 -3.247
Cl 8.177 2.136 0.937
Cl 1.522 2.690 -0.364
Cl 2.049 3.526 3.819
Br 6.743 -1.275 -1.084
Br 2.957 6.101 1.657
Nb 2.213 0.449 -0.386
Nb 7.487 4.377 0.958
I 3.144 -0.257 5.358
I 6.556 5.083 -4.785
I 5.599 3.993 -0.866
I 4.101 0.833 1.438
! - final energy (eV/atom) = -3.915
! - V (Å³/atom) = 38.2
! - energy relative to the lowest polymorph listed for this composition (meV/atom) = 0
! - mass density (g cm⁻³) = 3.60
! - total magnetization (μB/f.u.) = 0.01

=====

# 3
! RbCu8, optimized geometry, DFT GGA-PBE; values from VASP
&SYSTEM
  ibrav = 0, nat = 18, ntyp = 2
/
ATOMIC_SPECIES
Cu 63.55 Cu.upf
Rb 85.47 Rb.upf
CELL_PARAMETERS angstrom
0.000 4.041 12.038
2.899 0.000 12.038
2.899 4.041 0.000
ATOMIC_POSITIONS angstrom
Cu 5.298 5.231 14.984
Cu 2.429 5.176 10.892
Cu 5.298 6.892 21.128
Cu 3.849 4.871 8.966
Cu 1.919 3.155 16.910
Cu 3.878 4.927 16.910
Cu 1.949 4.871 15.110
Cu 3.398 5.231 21.128
Cu 3.368 2.907 10.892
Cu 1.919 4.927 7.165
Cu 3.368 5.176 13.184
Cu 3.398 6.892 14.984
Cu 3.878 3.155 7.165
Cu 1.949 3.211 8.966
Cu 2.429 2.907 13.184
Cu 3.849 3.211 15.110
Rb 1.449 2.021 6.019
Rb 0.000 0.000 0.000
! - final energy (eV/atom) = -3.046
! - V (Å³/atom) = 15.7
! - mass density (g cm⁻³) = 6.99

=====

# 4
! SmDySbI2, optimized geometry, DFT GGA-PBE; values from VASP
&SYSTEM
  ibrav = 0, nat = 5, ntyp = 4
/
ATOMIC_SPECIES
Dy 162.50 Dy.upf
Sb 121.76 Sb.upf
I 126.90 I.upf
Sm 150.36 Sm.upf
CELL_PARAMETERS angstrom
-0.072 3.473 2.653
1.885 -3.717 1.317
9.859 3.480 -4.288
ATOMIC_POSITIONS angstrom
Dy 9.597 1.632 -1.876
Sb 9.811 3.463 -4.267
I 4.463 -0.180 0.357
I 7.262 3.435 -0.698
Sm 2.069 1.602 1.560
! - final energy (eV/atom) = -4.594
! - V (Å³/atom) = 37.4
! - mass density (g cm⁻³) = 6.12
! - total magnetization (μB/f.u.) = 0.00

=====

# 5
! NdUCo, optimized geometry, DFT GGA-PBE; values from VASP
&SYSTEM
  ibrav = 0, nat = 3, ntyp = 3
/
ATOMIC_SPECIES
U 238.03 U.upf
Co 58.93 Co.upf
Nd 144.24 Nd.upf
CELL_PARAMETERS angstrom
4.625 -0.377 -0.222
2.086 -3.889 1.453
1.951 -2.880 -3.080
ATOMIC_POSITIONS angstrom
U 6.496 -5.359 -1.387
Co 0.000 0.000 0.000
Nd 2.165 -1.786 -0.462
! - final energy (eV/atom) = -7.253
! - formation energy (eV per formula unit) = 1.4
! - V (Å³/atom) = 23.6
! - energy relative to the lowest polymorph listed for this composition (meV/atom) = 0
! - mass density (g cm⁻³) = 10.33
! - total magnetization (μB/f.u.) = 3.08

=====

# 6
! TbBr2Cl, optimized geometry, DFT GGA-PBE; values from VASP
&SYSTEM
  ibrav = 0, nat = 8, ntyp = 3
/
ATOMIC_SPECIES
Tb 158.93 Tb.upf
Br 79.90 Br.upf
Cl 35.45 Cl.upf
CELL_PARAMETERS angstrom
3.631 -6.115 0.000
3.631 6.115 0.000
-2.356 0.000 6.681
ATOMIC_POSITIONS angstrom
Tb 3.631 4.101 0.000
Tb 3.631 -4.101 0.000
Br 4.942 2.179 1.607
Br -0.035 2.179 5.074
Br -0.035 -2.179 5.074
Br 4.942 -2.179 1.607
Cl 3.996 0.000 5.188
Cl 0.911 0.000 1.493
! - final energy (eV/atom) = -4.474
! - V (Å³/atom) = 37.1
! - mass density (g cm⁻³) = 3.96
! - total magnetization (μB/f.u.) = 0.00

=====

# 7
! RbPrPO, optimized geometry, DFT GGA-PBE; values from VASP
&SYSTEM
  ibrav = 0, nat = 8, ntyp = 4
/
ATOMIC_SPECIES
P 30.97 P.upf
Rb 85.47 Rb.upf
O 16.00 O.upf
Pr 140.91 Pr.upf
CELL_PARAMETERS angstrom
4.943 0.000 0.000
0.000 8.069 0.000
0.000 0.000 6.896
ATOMIC_POSITIONS angstrom
P 2.471 1.560 6.477
P 2.471 6.509 3.028
Rb 2.471 6.305 6.576
Rb 2.471 1.764 3.128
O 0.000 4.729 5.788
O 0.000 3.340 2.340
Pr 0.000 5.161 3.600
Pr 0.000 2.908 0.152
! - final energy (eV/atom) = -5.339
! - V (Å³/atom) = 34.4
! - energy relative to the lowest polymorph listed for this composition (meV/atom) = 0
! - mass density (g cm⁻³) = 3.30
! - total magnetization (μB/f.u.) = 1.00

=====

# 8
! LaMgAgTeS2, optimized geometry, DFT GGA-PBE; values from VASP
&SYSTEM
  ibrav = 0, nat = 12, ntyp = 5
/
ATOMIC_SPECIES
Ag 107.87 Ag.upf
Te 127.60 Te.upf
S 32.06 S.upf
La 138.91 La.upf
Mg 24.30 Mg.upf
CELL_PARAMETERS angstrom
1.989 -6.866 0.000
1.989 6.866 0.000
0.000 0.000 11.411
ATOMIC_POSITIONS angstrom
Ag 1.989 6.793 2.853
Ag 1.989 -6.793 8.558
Te 1.989 -1.865 8.558
Te 1.989 1.865 2.853
S 1.989 -5.050 10.378
S 1.989 5.050 1.033
S 1.989 5.050 4.672
S 1.989 -5.050 6.739
La 1.989 0.000 0.000
La 1.989 0.000 5.706
Mg 1.989 2.688 8.558
Mg 1.989 -2.688 2.853
! - final energy (eV/atom) = -4.539
! - V (Å³/atom) = 26.0
! - mass density (g cm⁻³) = 4.93
! - total magnetization (μB/f.u.) = 0.00

=====

# 9
! ErTmFe, optimized geometry, DFT GGA-PBE; values from VASP
&SYSTEM
  ibrav = 0, nat = 3, ntyp = 3
/
ATOMIC_SPECIES
Er 167.26 Er.upf
Fe 55.84 Fe.upf
Tm 168.93 Tm.upf
CELL_PARAMETERS angstrom
0.000 3.263 3.263
3.263 0.000 3.263
3.263 3.263 0.000
ATOMIC_POSITIONS angstrom
Er 1.631 1.631 1.631
Fe 0.000 0.000 0.000
Tm 4.894 4.894 4.894
! - final energy (eV/atom) = -5.607
! - formation energy (eV per formula unit) = 0.5
! - V (Å³/atom) = 23.2
! - energy relative to the lowest polymorph listed for this composition (meV/atom) = 0
! - mass density (g cm⁻³) = 9.37
! - total magnetization (μB/f.u.) = 0.08

=====

# 10
! RbYIrSe3, optimized geometry, DFT GGA-PBE; values from VASP
&SYSTEM
  ibrav = 0, nat = 12, ntyp = 4
/
ATOMIC_SPECIES
Y 88.91 Y.upf
Se 78.96 Se.upf
Rb 85.47 Rb.upf
Ir 192.22 Ir.upf
CELL_PARAMETERS angstrom
2.004 -8.165 0.000
2.004 8.165 0.000
0.000 0.000 10.283
ATOMIC_POSITIONS angstrom
Y 2.004 0.000 5.141
Y 2.004 0.000 0.000
Se 2.004 -6.289 9.453
Se 2.004 6.289 4.312
Se 2.004 1.368 2.571
Se 2.004 -6.289 5.971
Se 2.004 6.289 0.830
Se 2.004 -1.368 7.712
Rb 2.004 4.064 7.712
Rb 2.004 -4.064 2.571
Ir 2.004 8.051 2.571
Ir 2.004 -8.051 7.712
! - final energy (eV/atom) = -5.491
! - V (Å³/atom) = 28.0
! - mass density (g cm⁻³) = 5.96
! - total magnetization (μB/f.u.) = 0.00